Material: Na2LiSiTe4
Method: DFT, PBE-GGA
State: relaxed

```
16
Lattice="-3.6013 4.9436 6.1793 3.6013 -4.9436 6.1793 3.6013 4.9436 -6.1793" Properties=species:S:1:pos:R:3 pbc="T T T"
Na 0.0000 0.0000 0.0000
Na -1.8006 2.4718 3.0897
Na 0.0000 4.9436 0.0000
Na 1.8006 2.4718 3.0897
Li 3.6013 0.0000 0.0000
Li 0.0000 0.0000 6.1793
Si 1.8006 2.4718 -3.0897
Si 1.8006 -2.4718 3.0897
Te 3.6013 -0.4490 3.0669
Te 3.6013 4.4946 -3.0669
Te 2.0447 2.4718 -0.0807
Te 5.1579 2.4718 -0.0807
Te -1.5566 2.4718 6.2601
Te 1.5566 2.4718 6.2601
Te 0.0000 0.4490 9.2463
Te 0.0000 5.3926 3.1124
```

Output
The uncorrected formation energy is -437 meV/atom. The space group is Imma, No. 74. As for the spin magnetization: 0.0 Bohr magnetons per cell. The electronic total energy comes out at -52.078 eV for the cell shown.



Material: Pr2Nd6Sc
Method: DFT, PBE-GGA
State: relaxed

```
18
Lattice="8.3541 -5.9295 0.0000 8.3541 5.9295 0.0000 -0.7640 0.0000 6.1926" Properties=species:S:1:pos:R:3 pbc="T T T"
Pr 2.8329 1.2755 0.4010
Pr 2.4509 -1.2755 3.4973
Pr 13.4933 1.2755 2.6953
Pr 13.1113 -1.2755 5.7916
Nd 7.1402 4.2655 3.0240
Nd 4.4382 1.5914 3.9480
Nd 9.1860 4.2655 0.0723
Nd 6.4552 1.5862 1.0707
Nd 4.8202 -1.5914 0.8517
Nd 9.8710 1.5862 2.0256
Nd 6.0732 -1.5862 4.1670
Nd 11.1240 1.5914 5.3409
Nd 9.4890 -1.5862 5.1219
Nd 6.7582 -4.2655 6.1203
Nd 11.5060 -1.5914 2.2446
Nd 8.8040 -4.2655 3.1686
Sc 7.7811 1.2803 4.6445
Sc 8.1631 -1.2803 1.5482
```

Output
The space group is C2/c, No. 15. As for the spin magnetization: 0.0 Bohr magnetons per cell. As for the distance to the lowest polymorph of the same formula: 0.0000 eV per atom. The electronic total energy comes out at -87.415 eV for the cell shown.



Material: NaTlBi2
Method: DFT, PBE-GGA
State: relaxed

```
16
Lattice="6.8024 0.0000 0.0000 0.0000 10.6189 0.0000 0.0000 0.0000 6.8000" Properties=species:S:1:pos:R:3 pbc="T T T"
Na 0.0000 2.6511 1.7000
Na 0.0000 7.9677 5.1000
Na 3.4012 2.6583 5.1000
Na 3.4012 7.9606 1.7000
Tl 0.0000 2.6489 5.1000
Tl 0.0000 7.9699 1.7000
Tl 3.4012 2.6605 1.7000
Tl 3.4012 7.9584 5.1000
Bi 1.6948 5.3094 0.0000
Bi 1.6948 5.3094 3.4000
Bi 1.7064 0.0000 0.0000
Bi 1.7064 0.0000 3.4000
Bi 5.0960 0.0000 0.0000
Bi 5.0960 0.0000 3.4000
Bi 5.1076 5.3094 0.0000
Bi 5.1076 5.3094 3.4000
```

Output
The space group is Cmcm, No. 63. As for the spin magnetization: 0.0 Bohr magnetons per cell. As for the distance to the lowest polymorph of the same formula: 0.0058 eV per atom. The electronic total energy comes out at -48.295 eV for the cell shown.